The following is a DFT calculation (PBE) of an optimized crystal structure of Sm6As2PdSe3.

**Mass density**: 7.39 g/cm3
**Final energy**: -6.00 eV per atom
**Raw formation energy**: -18.76 eV/f.u.

Structure (CIF):
```
data_Sm6As2PdSe3
_chemical_formula_sum 'Sm12 As4 Pd2 Se6'
_symmetry_space_group_name_H-M 'C 1 2/m 1'
_symmetry_Int_Tables_number 12
_symmetry_space_group_name_Hall '-C 2y'
_cell_length_a 18.331
_cell_length_b 4.170
_cell_length_c 8.435
_cell_angle_alpha 90.00
_cell_angle_beta 103.51
_cell_angle_gamma 90.00
loop_
_atom_site_label
_atom_site_type_symbol
_atom_site_fract_x
_atom_site_fract_y
_atom_site_fract_z
Sm1 Sm 0.002 0.000 0.245
Sm2 Sm 0.167 0.500 0.090
Sm3 Sm 0.169 0.500 0.578
As1 As 0.166 0.000 0.333
Pd1 Pd 0.000 0.500 0.000
Se1 Se 0.000 0.500 0.500
Se2 Se 0.168 0.000 0.833
```



The following is a DFT calculation (PBE) of an optimized crystal structure of SnAsPdSe2.

**Offset from the most stable computed form**: 0.00 kcal/mol of atoms
**Mass density**: 6.06 g/cm3
**Final energy**: -3.95 eV per atom
**Raw formation energy**: 1.09 eV/f.u.

Structure (CIF):
```
data_SnAsPdSe2
_chemical_formula_sum 'Sn1 As1 Pd1 Se2'
_symmetry_space_group_name_H-M 'P 4/m m m'
_symmetry_Int_Tables_number 123
_symmetry_space_group_name_Hall '-P 4 2'
_cell_length_a 5.206
_cell_length_b 5.206
_cell_length_c 4.631
_cell_angle_alpha 90.00
_cell_angle_beta 90.00
_cell_angle_gamma 90.00
loop_
_atom_site_label
_atom_site_type_symbol
_atom_site_fract_x
_atom_site_fract_y
_atom_site_fract_z
Sn1 Sn 0.000 0.000 0.000
As1 As 0.500 0.500 0.000
Pd1 Pd 0.500 0.500 0.500
Se1 Se 0.000 0.500 0.500
```



The following is a DFT calculation (PBE) of an optimized crystal structure of SrAs2PdSe.

**Offset from the most stable computed form**: 32.19 kcal/mol of atoms
**Mass density**: 3.95 g/cm3
**Final energy**: -2.88 eV per atom
**Raw formation energy**: 5.27 eV/f.u.

Structure (CIF):
```
data_SrAs2PdSe
_chemical_formula_sum 'Sr1 As2 Pd1 Se1'
_symmetry_space_group_name_H-M 'P 4/m m m'
_symmetry_Int_Tables_number 123
_symmetry_space_group_name_Hall '-P 4 2'
_cell_length_a 5.644
_cell_length_b 5.644
_cell_length_c 5.579
_cell_angle_alpha 90.00
_cell_angle_beta 90.00
_cell_angle_gamma 90.00
loop_
_atom_site_label
_atom_site_type_symbol
_atom_site_fract_x
_atom_site_fract_y
_atom_site_fract_z
Sr1 Sr 0.000 0.000 0.000
As1 As 0.000 0.500 0.000
Pd1 Pd 0.500 0.500 0.500
Se1 Se 0.000 0.000 0.500
```



The following is a DFT calculation (PBE) of an optimized crystal structure of SrAs2PdSe.

**Offset from the most stable computed form**: 0.00 kcal/mol of atoms
**Mass density**: 5.51 g/cm3
**Final energy**: -4.27 eV per atom
**Raw formation energy**: -1.71 eV/f.u.

Structure (CIF):
```
data_SrAs2PdSe
_chemical_formula_sum 'Sr1 As2 Pd1 Se1'
_symmetry_space_group_name_H-M 'P 4/m m m'
_symmetry_Int_Tables_number 123
_symmetry_space_group_name_Hall '-P 4 2'
_cell_length_a 4.861
_cell_length_b 4.861
_cell_length_c 5.394
_cell_angle_alpha 90.00
_cell_angle_beta 90.00
_cell_angle_gamma 90.00
loop_
_atom_site_label
_atom_site_type_symbol
_atom_site_fract_x
_atom_site_fract_y
_atom_site_fract_z
Sr1 Sr 0.000 0.000 0.000
As1 As 0.000 0.500 0.500
Pd1 Pd 0.500 0.500 0.500
Se1 Se 0.500 0.500 0.000
```



The following is a DFT calculation (PBE) of an optimized crystal structure of TaAs2PdSe.

**Offset from the most stable computed form**: 0.00 kcal/mol of atoms
**Mass density**: 6.98 g/cm3
**Final energy**: -5.54 eV per atom
**Raw formation energy**: 2.13 eV/f.u.

Structure (CIF):
```
data_TaAs2PdSe
_chemical_formula_sum 'Ta1 As2 Pd1 Se1'
_symmetry_space_group_name_H-M 'P 4/m m m'
_symmetry_Int_Tables_number 123
_symmetry_space_group_name_Hall '-P 4 2'
_cell_length_a 4.992
_cell_length_b 4.992
_cell_length_c 4.929
_cell_angle_alpha 90.00
_cell_angle_beta 90.00
_cell_angle_gamma 90.00
loop_
_atom_site_label
_atom_site_type_symbol
_atom_site_fract_x
_atom_site_fract_y
_atom_site_fract_z
Ta1 Ta 0.000 0.000 0.000
As1 As 0.000 0.500 0.000
Pd1 Pd 0.500 0.500 0.500
Se1 Se 0.000 0.000 0.500
```



The following is a DFT calculation (PBE) of an optimized crystal structure of TaAs2PdSe.

**Offset from the most stable computed form**: 11.69 kcal/mol of atoms
**Mass density**: 7.83 g/cm3
**Final energy**: -5.03 eV per atom
**Raw formation energy**: 4.67 eV/f.u.

Structure (CIF):
```
data_TaAs2PdSe
_chemical_formula_sum 'Ta1 As2 Pd1 Se1'
_symmetry_space_group_name_H-M 'P 4/m m m'
_symmetry_Int_Tables_number 123
_symmetry_space_group_name_Hall '-P 4 2'
_cell_length_a 4.755
_cell_length_b 4.755
_cell_length_c 4.840
_cell_angle_alpha 90.00
_cell_angle_beta 90.00
_cell_angle_gamma 90.00
loop_
_atom_site_label
_atom_site_type_symbol
_atom_site_fract_x
_atom_site_fract_y
_atom_site_fract_z
Ta1 Ta 0.000 0.000 0.000
As1 As 0.000 0.500 0.500
Pd1 Pd 0.500 0.500 0.500
Se1 Se 0.500 0.500 0.000
```



The following is a DFT calculation (PBE) of an optimized crystal structure of TcAsPdSe2.

**Offset from the most stable computed form**: 0.00 kcal/mol of atoms
**Mass density**: 6.42 g/cm3
**Final energy**: -4.82 eV per atom
**Raw formation energy**: 3.07 eV/f.u.

Structure (CIF):
```
data_TcAsPdSe2
_chemical_formula_sum 'Tc1 As1 Pd1 Se2'
_symmetry_space_group_name_H-M 'P 4/m m m'
_symmetry_Int_Tables_number 123
_symmetry_space_group_name_Hall '-P 4 2'
_cell_length_a 4.879
_cell_length_b 4.879
_cell_length_c 4.754
_cell_angle_alpha 90.00
_cell_angle_beta 90.00
_cell_angle_gamma 90.00
loop_
_atom_site_label
_atom_site_type_symbol
_atom_site_fract_x
_atom_site_fract_y
_atom_site_fract_z
Tc1 Tc 0.000 0.000 0.000
As1 As 0.000 0.000 0.500
Pd1 Pd 0.500 0.500 0.500
Se1 Se 0.000 0.500 0.000
```



The following is a DFT calculation (PBE) of an optimized crystal structure of Te2AsPdSe.

**Mass density**: 6.33 g/cm3
**Final energy**: -3.42 eV per atom
**Raw formation energy**: 2.53 eV/f.u.

Structure (CIF):
```
data_Te2AsPdSe
_chemical_formula_sum 'Te2 As1 Pd1 Se1'
_symmetry_space_group_name_H-M 'P 4/m m m'
_symmetry_Int_Tables_number 123
_symmetry_space_group_name_Hall '-P 4 2'
_cell_length_a 5.340
_cell_length_b 5.340
_cell_length_c 4.743
_cell_angle_alpha 90.00
_cell_angle_beta 90.00
_cell_angle_gamma 90.00
loop_
_atom_site_label
_atom_site_type_symbol
_atom_site_fract_x
_atom_site_fract_y
_atom_site_fract_z
Te1 Te 0.000 0.500 0.000
As1 As 0.000 0.000 0.500
Pd1 Pd 0.500 0.500 0.000
Se1 Se 0.500 0.500 0.500
```